No. 1
CaNb2Pt: relaxed, PBE-GGA.

Values from the calculation:
- formation enthalpy at 0 K (eV per formula unit) = 1.1
- energy relative to the lowest polymorph listed for this composition (meV/atom) = 0
- SG = I-42d

a b c (Å): 3.9247 3.9247 21.4831
angles (deg): 90.00 90.00 90.00
Element x y z (fractional)
Ca (0.0000, 0.0000, 0.0000)
Ca (0.0000, 0.5000, 0.2500)
Ca (0.5000, 0.0000, 0.7500)
Ca (0.5000, 0.5000, 0.5000)
Nb (0.2296, 0.2500, 0.6250)
Nb (0.2500, 0.7296, 0.8750)
Nb (0.2500, 0.7704, 0.3750)
Nb (0.2704, 0.2500, 0.1250)
Nb (0.7296, 0.7500, 0.1250)
Nb (0.7500, 0.2296, 0.3750)
Nb (0.7500, 0.2704, 0.8750)
Nb (0.7704, 0.7500, 0.6250)
Pt (0.0000, 0.0000, 0.5000)
Pt (0.0000, 0.5000, 0.7500)
Pt (0.5000, 0.0000, 0.2500)
Pt (0.5000, 0.5000, 0.0000)

=====

No. 2
Ca2NbSbPt: relaxed, PBE-GGA.

Values from the calculation:
- SG = P4/mmm
- formation energy from raw total energies (eV per atom) = -0.106

a b c (Å): 5.4304 5.4304 4.9890
angles (deg): 90.00 90.00 90.00
Element x y z (fractional)
Ca (0.0000, 0.5000, 0.0000)
Ca (0.5000, 0.0000, 0.0000)
Nb (0.0000, 0.0000, 0.5000)
Sb (0.5000, 0.5000, 0.5000)
Pt (0.0000, 0.0000, 0.0000)

=====

No. 3
CaNbSb2Pt: relaxed, PBE-GGA.

Values from the calculation:
- SG = P4/mmm
- formation energy from raw total energies (eV per atom) = 1.601

a b c (Å): 5.3996 5.3996 4.7722
angles (deg): 90.00 90.00 90.00
Element x y z (fractional)
Ca (0.0000, 0.0000, 0.0000)
Nb (0.0000, 0.0000, 0.5000)
Sb (0.0000, 0.5000, 0.0000)
Sb (0.5000, 0.0000, 0.0000)
Pt (0.5000, 0.5000, 0.5000)

=====

Please write out number 3 again, unchanged.
CaNbSb2Pt: relaxed, PBE-GGA.

Values from the calculation:
- SG = P4/mmm
- formation energy from raw total energies (eV per atom) = 1.601

a b c (Å): 5.3996 5.3996 4.7722
angles (deg): 90.00 90.00 90.00
Element x y z (fractional)
Ca (0.0000, 0.0000, 0.0000)
Nb (0.0000, 0.0000, 0.5000)
Sb (0.0000, 0.5000, 0.0000)
Sb (0.5000, 0.0000, 0.0000)
Pt (0.5000, 0.5000, 0.5000)